# Pm2Ni12P7 (PBE, relaxed)
# Size of the total moment in μB per formula unit: 0.0
# Density in g/cm³: 7.5
# Calculated total energy in eV/atom: -6.3070
# Calculated formation energy in eV/atom: -0.748
data_Pm2Ni12P7
_chemical_formula_sum 'Pm2 Ni12 P7'
_cell_length_a 9.1070
_cell_length_b 9.1070
_cell_length_c 3.7437
_cell_angle_alpha 90.00
_cell_angle_beta 90.00
_cell_angle_gamma 120.00
_space_group_name_H-M_alt 'P -3'
_space_group_IT_number 147
loop_
_space_group_symop_operation_xyz
'x,y,z'
'-x,-y,-z'
'-y,x-y,z'
'y,-x+y,-z'
'-x+y,-x,z'
'x-y,x,-z'
loop_
_atom_site_label
_atom_site_fract_x
_atom_site_fract_y
_atom_site_fract_z
_atom_site_occupancy
Pm1 0.3333 0.6667 0.2492 1
Ni1 0.0558 0.6234 0.7504 1
Ni2 0.1145 0.8610 0.2565 1
P1 0.0000 0.0000 0.0000 1
P2 0.1077 0.4032 0.7492 1


# Pm2Ni3P (PBE, relaxed)
# Size of the total moment in μB per formula unit: 0.0
# Density in g/cm³: 7.5
# Calculated total energy in eV/atom: -6.0853
# Calculated formation energy in eV/atom: -0.709
data_Pm2Ni3P
_chemical_formula_sum 'Pm2 Ni3 P1'
_cell_length_a 3.954
_cell_length_b 3.963
_cell_length_c 6.985
_cell_angle_alpha 90.00
_cell_angle_beta 90.00
_cell_angle_gamma 90.00
_space_group_name_H-M_alt 'P m m 2'
_space_group_IT_number 25
loop_
_space_group_symop_operation_xyz
'x,y,z'
'-x,-y,z'
'-x,y,z'
'x,-y,z'
loop_
_atom_site_label
_atom_site_fract_x
_atom_site_fract_y
_atom_site_fract_z
_atom_site_occupancy
Pm1 0.000 0.000 0.000 1
Pm2 0.000 0.500 0.499 1
Ni1 0.500 0.000 0.652 1
Ni2 0.500 0.500 0.177 1
Ni3 0.500 0.500 0.834 1
P1 0.500 0.000 0.328 1


# PmNiP (PBE, relaxed)
# Excess energy over the best structure of this formula in the dataset in meV per atom: 323.8
# Size of the total moment in μB per formula unit: 0.0
# Density in g/cm³: 6.9
# Calculated total energy in eV/atom: -6.1704
# Calculated formation energy in eV/atom: -0.857
data_PmNiP
_chemical_formula_sum 'Pm4 Ni4 P4'
_cell_length_a 6.100
_cell_length_b 6.100
_cell_length_c 6.100
_cell_angle_alpha 90.00
_cell_angle_beta 90.00
_cell_angle_gamma 90.00
_space_group_name_H-M_alt 'F -4 3 m'
_space_group_IT_number 216
_space_group_name_Hall 'F -4 2 3'
loop_
_atom_site_label
_atom_site_fract_x
_atom_site_fract_y
_atom_site_fract_z
_atom_site_occupancy
Pm1 0.000 0.000 0.000 1
Ni1 0.250 0.250 0.250 1
P1 0.000 0.000 0.500 1


# Pm2Ni12P3Pt (PBE, relaxed)
# Size of the total moment in μB per formula unit: 0.0
# Density in g/cm³: 7.4
# Calculated total energy in eV/atom: -5.6362
# Calculated formation energy in eV/atom: -0.017
data_Pm2Ni12P3Pt
_chemical_formula_sum 'Pm6 Ni36 P9 Pt3'
_cell_length_a 7.6022
_cell_length_b 7.6022
_cell_length_c 17.2352
_cell_angle_alpha 90.00
_cell_angle_beta 90.00
_cell_angle_gamma 120.00
_space_group_name_H-M_alt 'R -3 m'
_space_group_IT_number 166
_space_group_name_Hall '-R 3 2"'
loop_
_atom_site_label
_atom_site_fract_x
_atom_site_fract_y
_atom_site_fract_z
_atom_site_occupancy
Pm1 0.0000 0.0000 0.1092 1
Ni1 0.0108 0.5054 0.8771 1
Ni2 0.0375 0.5187 0.3607 1
P1 0.0000 0.5000 0.0000 1
Pt1 0.0000 0.0000 0.5000 1


# Pm2NiP3Pt4 (PBE, relaxed)
# Size of the total moment in μB per formula unit: 0.0
# Density in g/cm³: 11.6
# Calculated total energy in eV/atom: -6.4674
# Calculated formation energy in eV/atom: -0.900
data_Pm2NiP3Pt4
_chemical_formula_sum 'Pm2 Ni1 P3 Pt4'
_cell_length_a 4.248
_cell_length_b 4.248
_cell_length_c 9.687
_cell_angle_alpha 90.00
_cell_angle_beta 90.00
_cell_angle_gamma 90.00
_space_group_name_H-M_alt 'P -4 m 2'
_space_group_IT_number 115
loop_
_space_group_symop_operation_xyz
'x,y,z'
'y,-x,-z'
'-x,-y,z'
'-y,x,-z'
'-x,y,z'
'-y,-x,-z'
'x,-y,z'
'y,x,-z'
loop_
_atom_site_label
_atom_site_fract_x
_atom_site_fract_y
_atom_site_fract_z
_atom_site_occupancy
Pm1 0.000 0.500 0.246 1
Ni1 0.500 0.500 0.000 1
P1 0.000 0.000 0.000 1
P2 0.000 0.500 0.634 1
Pt1 0.000 0.000 0.500 1
Pt2 0.000 0.500 0.875 1
Pt3 0.500 0.500 0.500 1


# Pm2NiP4Pt3 (PBE, relaxed)
# Size of the total moment in μB per formula unit: 0.0
# Density in g/cm³: 10.2
# Calculated total energy in eV/atom: -6.4790
# Calculated formation energy in eV/atom: -0.975
data_Pm2NiP4Pt3
_chemical_formula_sum 'Pm2 Ni1 P4 Pt3'
_cell_length_a 4.256
_cell_length_b 4.256
_cell_length_c 9.490
_cell_angle_alpha 90.00
_cell_angle_beta 90.00
_cell_angle_gamma 90.00
_space_group_name_H-M_alt 'P -4 m 2'
_space_group_IT_number 115
loop_
_space_group_symop_operation_xyz
'x,y,z'
'y,-x,-z'
'-x,-y,z'
'-y,x,-z'
'-x,y,z'
'-y,-x,-z'
'x,-y,z'
'y,x,-z'
loop_
_atom_site_label
_atom_site_fract_x
_atom_site_fract_y
_atom_site_fract_z
_atom_site_occupancy
Pm1 0.000 0.500 0.250 1
Ni1 0.000 0.000 0.500 1
P1 0.000 0.000 0.000 1
P2 0.000 0.500 0.626 1
P3 0.500 0.500 0.000 1
Pt1 0.000 0.500 0.880 1
Pt2 0.500 0.500 0.500 1